A plane-wave DFT calculation with PBE was carried out for an optimized crystal structure of Co4Si.

E: -5.96 eV/atom
Offset from the most stable computed form: 98.80 kJ/mol of atoms
D(E_F): 1.954 states/eV/atom
Crystal system: cubic
Formation energy (no corrections): 810.3 meV/atom

Unit cell a=4.1248 b=4.1248 c=4.1248 alpha=90.00 beta=90.00 gamma=90.00
Space group Pm-3m (No. 221)
One atom of each set of equivalent atoms:
Co1 0.0000 0.0000 0.0000 (multiplicity 1)
Co2 0.0000 0.5000 0.5000 (multiplicity 3)
Si1 0.5000 0.5000 0.5000 (multiplicity 1)